The following is a DFT calculation (GGA+U) of an optimized crystal structure of SrCoN2F.

Calculated values
ΔE to the lowest computed polymorph (meV per atom): 0
Calculated volume (Å³ per cell): 66.7

a b c (Å): 3.6688 3.6688 4.9543
angles (deg): 90.00 90.00 90.00
With the nearest neighbours (Å) after each atom.
Space group P4/mmm (No. 123)
Inequivalent atoms, fractional coordinates:
Sr1 0.0000 0.0000 0.0000 x1  4 F 2.59
Co1 0.5000 0.5000 0.5000 x1  4 N 1.83
N1 0.0000 0.5000 0.5000 x2  2 Co 1.83
F1 0.5000 0.5000 0.0000 x1  2 Co 2.48, 4 Sr 2.59